[1]
RbLiCuTe2: optimized geometry, PBE.

Values from the calculation:
uncorrected formation energy	-0.65	eV per atom
symmetry	I-4m2 (119)

abc: 4.371 4.371 8.104
angles: 105.65 105.65 90.00
Fractional coordinates of all 5 atoms:
Li1 0.750 0.250 0.500
Te1 0.354 0.354 0.707
Te2 0.646 0.646 0.293
Rb1 0.000 0.000 0.000
Cu1 0.250 0.750 0.500

***

[2]
PmSmSiS: optimized geometry, PBE.

Values from the calculation:
uncorrected formation energy	-1.36	eV per atom
symmetry	R3m (160)

abc: 4.122 4.122 7.224
angles: 73.43 73.43 60.00
Fractional coordinates of all 4 atoms:
Pm1 0.694 0.694 0.917
Sm1 0.194 0.194 0.418
Si1 0.944 0.944 0.169
S1 0.445 0.445 0.666